[1]
DFT (SCAN) results for a crystal of La2CrCl relaxed with PBEsol.

Cell: 3.5451 3.5451 28.9482 Å, 90.00 90.00 120.00°
With the nearest neighbours (Å) after each atom.
Sites, in units of the cell vectors:
La: 0.0000 0.0000 0.0000  3 Cl 2.96
La: 0.0000 0.0000 0.2265  3 Cr 3.06
La: 0.3333 0.6667 0.6667  3 Cl 2.96
La: 0.3333 0.6667 0.8932  3 Cr 3.06
La: 0.6667 0.3333 0.3333  3 Cl 2.96
La: 0.6667 0.3333 0.5598  3 Cr 3.06
Cr: 0.0000 0.0000 0.4813  3 Cl 2.96, 3 La 3.06
Cr: 0.3333 0.6667 0.1479  3 Cl 2.96, 3 La 3.06
Cr: 0.6667 0.3333 0.8146  3 Cl 2.96, 3 La 3.06
Cl: 0.0000 0.0000 0.7407  3 Cr 2.96, 3 La 2.96
Cl: 0.3333 0.6667 0.4074  3 Cr 2.96, 3 La 2.96
Cl: 0.6667 0.3333 0.0741  3 Cr 2.96, 3 La 2.96

Results
For the energy above the most stable polymorph in this dataset, the calculation gives 256 meV/atom. As for the total moment: 3.101 μB/f.u. The raw formation energy is -0.396 eV per atom.


[2]
DFT (SCAN) results for a crystal of H6W relaxed with PBEsol.

Cell: 5.3226 5.3226 6.2291 Å, 118.50 118.50 32.71°
With the nearest neighbours (Å) after each atom.
Sites, in units of the cell vectors:
H: 0.0175 0.0175 0.2222  3 H 1.63-1.78
H: 0.1596 0.1596 0.5047  2 H 1.63-1.78, 1 W 1.80
H: 0.1956 0.1956 0.1681  2 H 1.65
H: 0.2381 0.2381 0.8323  4 H 1.65-1.78, 1 W 1.68
H: 0.4285 0.4285 0.0608  4 H 1.75-1.95, 2 W 1.86-1.90
H: 0.4578 0.4578 0.4432  1 H 0.80
H: 0.5422 0.5422 0.5568  1 H 0.80
H: 0.5715 0.5715 0.9392  4 H 1.75-1.95, 2 W 1.86-1.90
H: 0.7619 0.7619 0.1677  4 H 1.65-1.78, 1 W 1.68
H: 0.8044 0.8044 0.8319  2 H 1.65
H: 0.8404 0.8404 0.4953  2 H 1.63-1.78, 1 W 1.80
H: 0.9825 0.9825 0.7778  3 H 1.63-1.78
W: 0.3590 0.3590 0.7223  7 H 1.68-1.88
W: 0.6410 0.6410 0.2777  7 H 1.68-1.88

Results
The calculation puts the uncorrected energy at -88.68 eV per formula unit. As for the total moment: 0.000 μB/f.u.


[3]
DFT (SCAN) results for a crystal of HoIO relaxed with PBEsol.

Cell: 3.8668 3.8668 9.2794 Å, 90.00 90.00 90.00°
With the nearest neighbours (Å) after each atom.
Sites, in units of the cell vectors:
Ho: 0.2500 0.2500 0.1164  4 O 2.21
Ho: 0.7500 0.7500 0.8836  4 O 2.21
I: 0.2500 0.2500 0.6815  4 Ho 3.32, 4 O 3.53
I: 0.7500 0.7500 0.3185  4 Ho 3.32, 4 O 3.53
O: 0.2500 0.7500 0.0000  4 Ho 2.21
O: 0.7500 0.2500 0.0000  4 Ho 2.21

Results
As for the total moment: 0.000 μB/f.u. The raw formation energy is -3.000 eV per atom.


[4]
DFT (SCAN) results for a crystal of Mg16Al12Ga relaxed with PBEsol.

Cell: 9.0152 9.0152 9.0152 Å, 109.25 109.25 109.25°
With the nearest neighbours (Å) after each atom.
Sites, in units of the cell vectors:
Mg: 0.0000 0.0000 0.0000  1 Ga 2.88, 3 Mg 3.13, 9 Al 3.14-3.17
Mg: 0.2855 0.6847 0.6847  5 Al 2.94-3.12, 7 Mg 3.00-3.13
Mg: 0.3187 0.5982 0.9992  5 Al 2.86-3.11, 6 Mg 3.02-3.17
Mg: 0.3187 0.9992 0.5982  5 Al 2.86-3.11, 6 Mg 3.02-3.17
Mg: 0.3471 0.9991 0.9991  4 Mg 3.00-3.13, 6 Al 3.05-3.11
Mg: 0.4097 0.4097 0.7073  5 Al 2.94-3.13, 1 Ga 2.99, 6 Mg 3.07-3.23
Mg: 0.4097 0.7073 0.4097  5 Al 2.94-3.13, 1 Ga 2.99, 6 Mg 3.07-3.23
Mg: 0.5982 0.3187 0.9992  5 Al 2.86-3.11, 6 Mg 3.02-3.17
Mg: 0.5982 0.9992 0.3187  5 Al 2.86-3.11, 6 Mg 3.02-3.17
Mg: 0.6847 0.2855 0.6847  5 Al 2.94-3.12, 7 Mg 3.00-3.13
Mg: 0.6847 0.6847 0.2855  5 Al 2.94-3.12, 7 Mg 3.00-3.13
Mg: 0.7073 0.4097 0.4097  5 Al 2.94-3.13, 1 Ga 2.99, 6 Mg 3.07-3.23
Mg: 0.9992 0.3187 0.5982  5 Al 2.86-3.11, 6 Mg 3.02-3.17
Mg: 0.9991 0.3471 0.9991  4 Mg 3.00-3.13, 6 Al 3.05-3.11
Mg: 0.9992 0.5982 0.3187  5 Al 2.86-3.11, 6 Mg 3.02-3.17
Mg: 0.9991 0.9991 0.3471  4 Mg 3.00-3.13, 6 Al 3.05-3.11
Al: 0.0025 0.6344 0.8171  3 Al 2.69-2.74, 3 Mg 2.86-2.98, 1 Ga 2.97
Al: 0.0025 0.8171 0.6344  3 Al 2.69-2.74, 3 Mg 2.86-2.98, 1 Ga 2.97
Al: 0.1715 0.3592 0.3592  3 Al 2.67-2.76, 3 Mg 2.94
Al: 0.1862 0.1862 0.8110  3 Al 2.67-2.74, 3 Mg 2.94-2.97
Al: 0.1862 0.8110 0.1862  3 Al 2.67-2.74, 3 Mg 2.94-2.97
Al: 0.3592 0.1715 0.3592  3 Al 2.67-2.76, 3 Mg 2.94
Al: 0.3592 0.3592 0.1715  3 Al 2.67-2.76, 3 Mg 2.94
Al: 0.6344 0.0025 0.8171  3 Al 2.69-2.74, 3 Mg 2.86-2.98, 1 Ga 2.97
Al: 0.6344 0.8171 0.0025  3 Al 2.69-2.74, 3 Mg 2.86-2.98, 1 Ga 2.97
Al: 0.8110 0.1862 0.1862  3 Al 2.67-2.74, 3 Mg 2.94-2.97
Al: 0.8171 0.0025 0.6344  3 Al 2.69-2.74, 3 Mg 2.86-2.98, 1 Ga 2.97
Al: 0.8171 0.6344 0.0025  3 Al 2.69-2.74, 3 Mg 2.86-2.98, 1 Ga 2.97
Ga: 0.6841 0.6841 0.6841  4 Mg 2.88-2.99, 6 Al 2.97

Results
For the energy above the most stable polymorph in this dataset, the calculation gives 6 meV/atom. As for the total moment: 0.000 μB/f.u. For the calculated formation energy, the calculation gives -22.8 meV/atom.


[5]
DFT (SCAN) results for a crystal of Ca2LaMo relaxed with PBEsol.

Cell: 7.5438 7.5438 7.5438 Å, 90.00 90.00 90.00°
With the nearest neighbours (Å) after each atom.
Sites, in units of the cell vectors:
Ca: 0.0000 0.0000 0.0000  4 La 3.27, 4 Ca 3.27
Ca: 0.0000 0.5000 0.5000  4 La 3.27, 4 Ca 3.27
Ca: 0.2500 0.2500 0.2500  4 Mo 3.27, 4 Ca 3.27
Ca: 0.2500 0.7500 0.7500  4 Mo 3.27, 4 Ca 3.27
Ca: 0.5000 0.0000 0.5000  4 La 3.27, 4 Ca 3.27
Ca: 0.5000 0.5000 0.0000  4 La 3.27, 4 Ca 3.27
Ca: 0.7500 0.2500 0.7500  4 Mo 3.27, 4 Ca 3.27
Ca: 0.7500 0.7500 0.2500  4 Mo 3.27, 4 Ca 3.27
La: 0.2500 0.2500 0.7500  4 Mo 3.27, 4 Ca 3.27
La: 0.2500 0.7500 0.2500  4 Mo 3.27, 4 Ca 3.27
La: 0.7500 0.2500 0.2500  4 Mo 3.27, 4 Ca 3.27
La: 0.7500 0.7500 0.7500  4 Mo 3.27, 4 Ca 3.27
Mo: 0.0000 0.0000 0.5000  4 La 3.27, 4 Ca 3.27
Mo: 0.0000 0.5000 0.0000  4 La 3.27, 4 Ca 3.27
Mo: 0.5000 0.0000 0.0000  4 La 3.27, 4 Ca 3.27
Mo: 0.5000 0.5000 0.5000  4 La 3.27, 4 Ca 3.27

Results
For the energy above the most stable polymorph in this dataset, the calculation gives 123 meV/atom. As for the total moment: 2.434 μB/f.u. For the calculated formation energy, the calculation gives 633.3 meV/atom.


[6]
DFT (SCAN) results for a crystal of NbHI2Br relaxed with PBEsol.

Cell: 5.5377 5.5377 5.0944 Å, 90.00 90.00 90.00°
With the nearest neighbours (Å) after each atom.
Sites, in units of the cell vectors:
Nb: 0.0000 0.0000 0.0000  2 Br 2.55, 4 I 2.77
H: 0.5000 0.5000 0.5000  8 I 3.76, 4 Br 3.92
I: 0.0000 0.5000 0.0000  2 Nb 2.77
I: 0.5000 0.0000 0.0000  2 Nb 2.77
Br: 0.0000 0.0000 0.5000  2 Nb 2.55

Results
The calculation puts the uncorrected energy at -128.60 eV per formula unit. As for the total moment: 1.005 μB/f.u.


[7]
DFT (SCAN) results for a crystal of CaZrSb3 relaxed with PBEsol.

Cell: 5.4696 5.4696 5.4696 Å, 90.00 90.00 90.00°
With the nearest neighbours (Å) after each atom.
Sites, in units of the cell vectors:
Ca: 0.0000 0.0000 0.0000  12 Sb 3.87
Zr: 0.5000 0.5000 0.5000  6 Sb 2.73
Sb: 0.0000 0.5000 0.5000  2 Zr 2.73
Sb: 0.5000 0.0000 0.5000  2 Zr 2.73
Sb: 0.5000 0.5000 0.0000  2 Zr 2.73

Results
As for the total moment: 0.000 μB/f.u. The raw formation energy is -0.227 eV per atom.


[8]
DFT (SCAN) results for a crystal of HPd3Se relaxed with PBEsol.

Cell: 3.9961 3.9961 3.9961 Å, 90.00 90.00 90.00°
With the nearest neighbours (Å) after each atom.
Sites, in units of the cell vectors:
H: 0.0000 0.0000 0.0000  6 Pd 2.00
Pd: 0.0000 0.0000 0.5000  2 H 2.00
Pd: 0.0000 0.5000 0.0000  2 H 2.00
Pd: 0.5000 0.0000 0.0000  2 H 2.00
Se: 0.5000 0.5000 0.5000  12 Pd 2.83

Results
For the energy above the most stable polymorph in this dataset, the calculation gives 0 meV/atom. As for the total moment: 0.000 μB/f.u.